No. 1
First-principles (PBE) data for a geometry-optimized LaPrTl2Se4 structure, as listed in Alexandria.

As for the total energy: -0.3649 Ry per atom. The volume comes out at 32.3 Å³/atom. As for the uncorrected formation energy: -1417 meV/atom. For the density of states at the Fermi level, the calculation gives 0.0 states/eV/cell. The spin magnetization is 0.0 μB per formula unit.

It has space group P2/m (No. 10), with a = 7.608 Å, b = 4.393 Å, c = 8.125 Å, α = 90.00°, β = 108.16° and γ = 90.00°. The asymmetric unit holds La at (0.000, 0.000, 0.000), Pr at (0.500, 0.500, 0.000), Tl at (0.000, 0.500, 0.500), Tl at (0.500, 0.000, 0.500), Se at (0.239, 0.500, 0.212) and Se at (0.264, 0.000, 0.788).

=====

No. 2
First-principles (PBE) data for a geometry-optimized La3PrTm3Se8 structure, as listed in Alexandria.

As for the total energy: -0.4367 Ry per atom. The volume comes out at 27.1 Å³/atom. As for the uncorrected formation energy: -1885 meV/atom. For the density of states at the Fermi level, the calculation gives 23.2 states/eV/cell. The spin magnetization is 0.0 μB per formula unit.

It has space group R-3m (No. 166, hexagonal axes), with a = 8.2590 Å, b = 8.2590 Å, c = 20.6750 Å, α = 90.00°, β = 90.00° and γ = 120.00°. The asymmetric unit holds La at (0.0000, 0.5000, 0.0000), Pr at (0.0000, 0.0000, 0.5000), Tm at (0.0000, 0.5000, 0.5000), Se at (0.0000, 0.0000, 0.2423) and Se at (0.0195, 0.5097, 0.7531).

=====

No. 3
First-principles (PBE) data for a geometry-optimized La2PrTmSe4 structure, as listed in Alexandria.

As for the total energy: -0.4413 Ry per atom. The volume comes out at 26.7 Å³/atom. As for the uncorrected formation energy: -1873 meV/atom. For the density of states at the Fermi level, the calculation gives 5.2 states/eV/cell. The spin magnetization is 0.0 μB per formula unit.

It has space group P2/m (No. 10), with a = 7.354 Å, b = 4.176 Å, c = 7.363 Å, α = 90.00°, β = 108.84° and γ = 90.00°. The asymmetric unit holds La at (0.000, 0.000, 0.000), La at (0.000, 0.500, 0.500), Pr at (0.500, 0.000, 0.500), Tm at (0.500, 0.500, 0.000), Se at (0.260, 0.500, 0.242) and Se at (0.268, 0.000, 0.767).

=====

No. 4
First-principles (PBE) data for a geometry-optimized LaPrTm2Se4 structure, as listed in Alexandria.

As for the total energy: -0.4322 Ry per atom. The volume comes out at 25.3 Å³/atom. As for the uncorrected formation energy: -1806 meV/atom. For the density of states at the Fermi level, the calculation gives 3.5 states/eV/cell. The spin magnetization is 0.0 μB per formula unit.

It has space group P2/m (No. 10), with a = 7.058 Å, b = 4.058 Å, c = 7.454 Å, α = 90.00°, β = 108.29° and γ = 90.00°. The asymmetric unit holds La at (0.000, 0.000, 0.000), Pr at (0.500, 0.500, 0.000), Tm at (0.000, 0.500, 0.500), Tm at (0.500, 0.000, 0.500), Se at (0.242, 0.000, 0.726) and Se at (0.259, 0.500, 0.275).

=====

What did the second record say?
First-principles (PBE) data for a geometry-optimized La3PrTm3Se8 structure, as listed in Alexandria.

As for the total energy: -0.4367 Ry per atom. The volume comes out at 27.1 Å³/atom. As for the uncorrected formation energy: -1885 meV/atom. For the density of states at the Fermi level, the calculation gives 23.2 states/eV/cell. The spin magnetization is 0.0 μB per formula unit.

It has space group R-3m (No. 166, hexagonal axes), with a = 8.2590 Å, b = 8.2590 Å, c = 20.6750 Å, α = 90.00°, β = 90.00° and γ = 120.00°. The asymmetric unit holds La at (0.0000, 0.5000, 0.0000), Pr at (0.0000, 0.0000, 0.5000), Tm at (0.0000, 0.5000, 0.5000), Se at (0.0000, 0.0000, 0.2423) and Se at (0.0195, 0.5097, 0.7531).

=====

Among the records above, which one has the lowest volume?
LaPrTm2Se4